No. 1
Li2ZrInO: optimized geometry, PBE-GGA.

Cell: 4.311 4.311 4.275 Å, 90.00 90.00 90.00°
Sites, in units of the cell vectors:
Li (0.000, 0.500, 0.000)
Li (0.500, 0.000, 0.000)
O (0.000, 0.000, 0.000)
Zr (0.000, 0.000, 0.500)
In (0.500, 0.500, 0.500)

## Properties
Uncorrected energy   -0.380 Ry/atom
Formation energy without anion corrections   -1152 meV/atom
D(E_F)   0.43 states/eV per atom

***

No. 2
LiZr2InO: optimized geometry, PBE-GGA.

Cell: 4.477 4.477 4.251 Å, 90.00 90.00 90.00°
Sites, in units of the cell vectors:
Li (0.000, 0.000, 0.500)
O (0.000, 0.000, 0.000)
Zr (0.000, 0.500, 0.000)
Zr (0.500, 0.000, 0.000)
In (0.500, 0.500, 0.500)

## Properties
Uncorrected energy   -0.481 Ry/atom
Formation energy without anion corrections   -1197 meV/atom
D(E_F)   0.50 states/eV per atom

***

No. 3
LiInOs4: optimized geometry, PBE-GGA.

Cell: 5.205 5.205 5.205 Å, 60.00 60.00 60.00°
Sites, in units of the cell vectors:
Li (0.000, 0.000, 0.000)
In (0.250, 0.250, 0.250)
Os (0.625, 0.625, 0.124)
Os (0.625, 0.124, 0.625)
Os (0.625, 0.625, 0.625)
Os (0.124, 0.625, 0.625)

## Properties
Uncorrected energy   -0.567 Ry/atom
Energy of formation   0.5428 eV per atom
D(E_F)   1.37 states/eV per atom

***

No. 4
LiIn3Os: optimized geometry, PBE-GGA.

Cell: 5.191 5.191 5.191 Å, 90.00 90.00 90.00°
Sites, in units of the cell vectors:
Li (0.500, 0.500, 0.500)
Os (0.000, 0.000, 0.000)
In (0.000, 0.500, 0.000)
In (0.000, 0.000, 0.500)
In (0.500, 0.000, 0.000)

## Properties
Uncorrected energy   -0.302 Ry/atom
Energy of formation   0.1668 eV per atom
D(E_F)   0.17 states/eV per atom